HfC3F | GGA-PBE | optimized geometry

Calculated values
Final energy, Ry/atom: -0.4137
Formation energy (no corrections), meV/atom: 2270.4
Energy relative to the lowest polymorph listed for this composition, meV/atom: 290

Lattice parameters (Å, degrees): 4.364 4.364 4.364 90.00 90.00 90.00
Space group Pm-3m (No. 221)
One atom of each set of equivalent atoms:
1 Hf 0.000 0.000 0.000 (multiplicity 1)
2 C 0.000 0.000 0.500 (multiplicity 3)
3 F 0.500 0.500 0.500 (multiplicity 1)

---

MnCoHgIr2 | GGA-PBE | optimized geometry

Calculated values
ΔE_f, eV per atom: 1.0063
Final energy, Ry/atom: -0.4302

Lattice parameters (Å, degrees): 4.520 4.520 4.432 90.00 90.00 90.00
Space group P4/mmm (No. 123)
One atom of each set of equivalent atoms:
1 Mn 0.000 0.000 0.000 (multiplicity 1)
2 Co 0.000 0.000 0.500 (multiplicity 1)
3 Hg 0.500 0.500 0.000 (multiplicity 1)
4 Ir 0.000 0.500 0.500 (multiplicity 2)

---

Number 1: total moment 0.9 μB per cell. Number 2: total moment 6.6 μB per cell.